Material: MnNbHg2I
Method: DFT, PBEsol
State: optimized geometry

a b c (Å): 4.5373 5.1154 5.1154
angles (deg): 90.00 90.00 90.00
With the nearest neighbours (Å) after each atom.
Atoms (fractional coordinates):
I1 0.5000 0.5000 0.5000  8 Hg 3.42, 4 Nb 3.62
Nb1 0.5000 0.0000 0.0000  2 Mn 2.27
Mn1 0.0000 0.0000 0.0000  2 Nb 2.27
Hg1 0.0000 0.0000 0.5000  2 Mn 2.56
Hg2 0.0000 0.5000 0.0000  2 Mn 2.56

Properties
Raw formation energy, eV/atom: 0.63
Energy, eV per cell: -20.3
Magnetization, μB/atom: 0.14